1.
VASP calculation (PBE) on a relaxed structure of NdSnB.

Geometry as extended XYZ:
```
3
Lattice="0.0000 3.3715 3.3715 3.3715 0.0000 3.3715 3.3715 3.3715 0.0000" Properties=species:S:1:pos:R:3 pbc="T T T"
Nd 5.0573 5.0573 5.0573
Sn 0.0000 0.0000 0.0000
B 1.6858 1.6858 1.6858
```

## Properties
E above lowest polymorph = 783 meV per atom
Magnetic moment = 0.0 μB/f.u.
Total DFT energy (no corrections) = -4.224 eV per atom

***

2.
VASP calculation (PBE) on a relaxed structure of NdSnB4.

Geometry as extended XYZ:
```
6
Lattice="3.2380 0.0000 0.0000 -1.6190 2.8042 0.0000 0.0000 0.0000 8.3183" Properties=species:S:1:pos:R:3 pbc="T T T"
B 1.6190 0.9347 2.0927
B 0.0000 1.8694 2.0927
B 1.6190 0.9347 6.2256
B 0.0000 1.8694 6.2256
Sn 0.0000 0.0000 4.1592
Nd 0.0000 0.0000 0.0000
```

## Properties
E above lowest polymorph = 150 meV per atom
Magnetic moment = 0.0 μB/f.u.
Total DFT energy (no corrections) = -5.744 eV per atom

***

3.
VASP calculation (PBE) on a relaxed structure of NdSnB4.

Geometry as extended XYZ:
```
6
Lattice="5.1606 -1.1061 -0.9046 2.0482 -2.1482 4.4569 -3.5832 -0.6690 -3.9226" Properties=species:S:1:pos:R:3 pbc="T T T"
B 0.7040 -1.8892 1.9603
B 2.3767 -1.4208 -0.6630
B 1.2489 -2.5024 0.2928
B 2.9216 -2.0339 -2.3305
Sn 3.6044 -1.6271 1.7762
Nd 0.0000 0.0000 0.0000
```

## Properties
E above lowest polymorph = 0 meV per atom
Magnetic moment = 0.0 μB/f.u.
Total DFT energy (no corrections) = -5.893 eV per atom

***

4.
VASP calculation (PBE) on a relaxed structure of SrNdB4.

Geometry as extended XYZ:
```
6
Lattice="3.3366 0.0000 0.0000 -1.6683 2.8896 0.0000 0.0000 0.0000 8.4908" Properties=species:S:1:pos:R:3 pbc="T T T"
B 0.0000 1.9264 2.0439
B 0.0000 1.9264 6.4469
B 1.6683 0.9632 2.0439
B 1.6683 0.9632 6.4469
Sr 0.0000 0.0000 4.2454
Nd 0.0000 0.0000 0.0000
```

## Properties
E above lowest polymorph = 172 meV per atom
Magnetic moment = 0.0 μB/f.u.
Total DFT energy (no corrections) = -5.571 eV per atom